The following is a PBE+U calculation of a relaxed MnTe2IF crystal, from the Alexandria database.

extended XYZ file:
```
5
Lattice="-3.225 3.862 1.820 -3.718 -3.662 1.183 2.155 -0.565 5.018" Properties=species:S:1:pos:R:3 pbc="T T T"
I 1.077 -0.283 2.509
Te -1.859 -1.831 0.592
Te -1.612 1.931 0.910
Mn 0.000 0.000 0.000
F -2.394 -0.182 4.011
```

Results
DOS(E_F) (states/eV per atom): 1.366
Distance to the lowest polymorph of the same formula (eV/atom): 0.135
Space group: No. 123